This record from Alexandria describes a relaxed structure of YThRe. The functional is PBE.

Calculated values
DFT total energy in eV per atom: -8.703
ΔE_f in eV per atom: 0.07
M_tot in μB/f.u.: 0.000

abc: 3.485 3.485 13.332
angles: 90.00 90.00 90.00
Atoms (fractional coordinates):
Y (0.000, 0.000, 0.000)
Y (0.500, 0.500, 0.500)
Th (0.000, 0.000, 0.256)
Th (0.500, 0.500, 0.756)
Re (0.000, 0.000, 0.632)
Re (0.500, 0.500, 0.132)